Below is a relaxed BiB crystal, with properties calculated at the GGA-PBE level.

- Crystal system: tetragonal
- Energy of formation from the pure elements: 1.14 eV/atom
- Calculated total energy: -4.143 eV/atom
- Energy above the most stable polymorph in this dataset: 30.5 kJ per mole of atoms

```
data_BiB
_chemical_formula_sum 'Bi8 B8'
_space_group_name_H-M_alt 'P 4/m'
_space_group_IT_number 83
_space_group_name_Hall '-P 4'
_cell_length_a 10.9814
_cell_length_b 10.9814
_cell_length_c 4.0503
_cell_angle_alpha 90.00
_cell_angle_beta 90.00
_cell_angle_gamma 90.00
loop_
_atom_site_label
_atom_site_type_symbol
_atom_site_fract_x
_atom_site_fract_y
_atom_site_fract_z
Bi1 Bi 0.1061 0.3785 0.0000
Bi2 Bi 0.2334 0.6112 0.5000
B1 B 0.1155 0.5965 0.0000
B2 B 0.2301 0.3836 0.5000
```

Below is a relaxed BiB crystal, with properties calculated at the GGA-PBE level.

- Crystal system: cubic
- Energy of formation from the pure elements: 0.82 eV/atom
- Calculated total energy: -4.459 eV/atom
- Energy above the most stable polymorph in this dataset: 0.0 kJ per mole of atoms

```
data_BiB
_chemical_formula_sum 'Bi4 B4'
_space_group_name_H-M_alt 'F -4 3 m'
_space_group_IT_number 216
_space_group_name_Hall 'F -4 2 3'
_cell_length_a 5.5398
_cell_length_b 5.5398
_cell_length_c 5.5398
_cell_angle_alpha 90.00
_cell_angle_beta 90.00
_cell_angle_gamma 90.00
loop_
_atom_site_label
_atom_site_type_symbol
_atom_site_fract_x
_atom_site_fract_y
_atom_site_fract_z
Bi1 Bi 0.0000 0.0000 0.0000
B1 B 0.2500 0.2500 0.2500
```

Below is a relaxed BiB4 crystal, with properties calculated at the GGA-PBE level.

- Crystal system: cubic
- Energy of formation from the pure elements: 3.36 eV/atom
- Calculated total energy: -2.756 eV/atom

```
data_BiB4
_chemical_formula_sum 'Bi1 B4'
_space_group_name_H-M_alt 'P m -3 m'
_space_group_IT_number 221
_space_group_name_Hall '-P 4 2 3'
_cell_length_a 4.6951
_cell_length_b 4.6951
_cell_length_c 4.6951
_cell_angle_alpha 90.00
_cell_angle_beta 90.00
_cell_angle_gamma 90.00
loop_
_atom_site_label
_atom_site_type_symbol
_atom_site_fract_x
_atom_site_fract_y
_atom_site_fract_z
Bi1 Bi 0.0000 0.0000 0.0000
B1 B 0.0000 0.0000 0.5000
B2 B 0.5000 0.5000 0.5000
```

Values for calculated volume, A^3/atom, ordered as above
30.53; 21.25; 20.70
Values for D(E_F), states/eV/cell, ordered as above
1.47; 0.13; 3.83
Values for magnetic moment, μB per cell, ordered as above
0.0; 0.0; 0.0